1.
{
  "formula": "CaAgCl2",
  "functional": "GGA-PBE",
  "state": "relaxed",
  "lattice_angstrom": [[7.877, -0.023, 0.006], [5.935, 5.179, -0.006], [-6.707, -3.110, 2.717]],
  "species": ["Ca", "Ag", "Cl", "Cl"],
  "fractional_positions": [[0.217, 0.717, 0.500], [0.437, 0.437, 0.000], [0.080, 0.080, 0.000], [0.766, 0.266, 0.500]],
  "de_polymorph_mev_per_atom": 151,
  "final_energy_ev_per_atom": -3.333,
  "magmom_total_mub_per_fu": 0.0,
  "volume_a3_per_atom": 27.79
}

***

2.
{
  "formula": "CaAg2Cl4",
  "functional": "GGA-PBE",
  "state": "relaxed",
  "lattice_angstrom": [[8.146, 0.000, 0.000], [0.000, 8.146, 0.000], [0.000, 0.000, 11.315]],
  "species": ["Ca", "Ca", "Ca", "Ca", "Ag", "Ag", "Ag", "Ag", "Ag", "Ag", "Ag", "Ag", "Cl", "Cl", "Cl", "Cl", "Cl", "Cl", "Cl", "Cl", "Cl", "Cl", "Cl", "Cl", "Cl", "Cl", "Cl", "Cl"],
  "fractional_positions": [[0.000, 0.735, 0.500], [0.265, 0.000, 0.750], [0.735, 0.000, 0.250], [0.000, 0.265, 0.000], [0.754, 0.754, 0.875], [0.246, 0.754, 0.125], [0.754, 0.246, 0.625], [0.246, 0.246, 0.375], [0.730, 0.500, 0.250], [0.500, 0.270, 0.000], [0.500, 0.730, 0.500], [0.270, 0.500, 0.750], [0.242, 0.978, 0.507], [0.758, 0.978, 0.493], [0.022, 0.242, 0.757], [0.758, 0.022, 0.007], [0.244, 0.494, 0.991], [0.506, 0.244, 0.241], [0.494, 0.756, 0.741], [0.244, 0.506, 0.509], [0.756, 0.494, 0.009], [0.756, 0.506, 0.491], [0.494, 0.244, 0.759], [0.506, 0.756, 0.259], [0.978, 0.242, 0.243], [0.242, 0.022, 0.993], [0.978, 0.758, 0.257], [0.022, 0.758, 0.743]],
  "de_polymorph_mev_per_atom": 0,
  "final_energy_ev_per_atom": -3.431,
  "magmom_total_mub_per_fu": 0.0,
  "volume_a3_per_atom": 26.82
}

***

3.
{
  "formula": "Ca5AgCl12",
  "functional": "GGA-PBE",
  "state": "relaxed",
  "lattice_angstrom": [[-3.612, 5.451, 2.988], [-1.425, 0.015, 6.900], [11.032, 6.596, 2.530]],
  "species": ["Ca", "Ca", "Ca", "Ca", "Ca", "Ag", "Cl", "Cl", "Cl", "Cl", "Cl", "Cl", "Cl", "Cl", "Cl", "Cl", "Cl", "Cl"],
  "fractional_positions": [[0.500, 0.000, 0.500], [0.166, 0.667, 0.500], [0.834, 0.333, 0.500], [0.660, 0.680, 0.000], [0.340, 0.320, 0.000], [0.000, 0.000, 0.000], [0.839, 0.000, 0.392], [0.161, 0.000, 0.608], [0.647, 0.000, 0.881], [0.353, 0.000, 0.119], [0.314, 0.692, 0.899], [0.995, 0.692, 0.101], [0.005, 0.308, 0.899], [0.686, 0.308, 0.101], [0.494, 0.334, 0.609], [0.828, 0.666, 0.609], [0.172, 0.334, 0.391], [0.506, 0.666, 0.391]],
  "final_energy_ev_per_atom": -3.971,
  "magmom_total_mub_per_fu": 1.0,
  "volume_a3_per_atom": 31.68
}

***

4.
{
  "formula": "CaAgCl2",
  "functional": "GGA-PBE",
  "state": "relaxed",
  "lattice_angstrom": [[-1.351, 0.066, 3.090], [-0.194, -3.368, 0.003], [9.869, -0.564, 4.327]],
  "species": ["Ca", "Ag", "Cl", "Cl"],
  "fractional_positions": [[0.500, 0.500, 0.750], [0.500, 0.500, 0.250], [0.000, 0.000, 0.896], [0.000, 0.000, 0.604]],
  "de_polymorph_mev_per_atom": 96,
  "final_energy_ev_per_atom": -3.388,
  "magmom_total_mub_per_fu": 0.0,
  "volume_a3_per_atom": 30.70
}

***

5.
{
  "formula": "Ca2Ag3Cl8",
  "functional": "GGA-PBE",
  "state": "relaxed",
  "lattice_angstrom": [[-5.588, -1.523, 3.749], [5.094, -1.845, 5.415], [2.506, 5.602, 4.584]],
  "species": ["Ca", "Ca", "Ag", "Ag", "Ag", "Cl", "Cl", "Cl", "Cl", "Cl", "Cl", "Cl", "Cl"],
  "fractional_positions": [[0.500, 0.734, 0.734], [0.500, 0.266, 0.266], [0.500, 0.000, 0.000], [0.000, 0.751, 0.249], [0.000, 0.249, 0.751], [0.842, 0.396, 0.396], [0.158, 0.604, 0.604], [0.836, 0.892, 0.892], [0.164, 0.108, 0.108], [0.653, 0.374, 0.909], [0.653, 0.909, 0.374], [0.347, 0.091, 0.626], [0.347, 0.626, 0.091]],
  "final_energy_ev_per_atom": -3.391,
  "magmom_total_mub_per_fu": 0.0,
  "volume_a3_per_atom": 27.38
}

***

6.
{
  "formula": "Ca2AgCl",
  "functional": "GGA-PBE",
  "state": "relaxed",
  "lattice_angstrom": [[5.448, 0.000, 0.000], [2.724, 4.718, 0.000], [2.724, 1.573, 4.448]],
  "species": ["Ca", "Ca", "Ag", "Cl"],
  "fractional_positions": [[0.000, 0.000, 0.000], [0.250, 0.250, 0.250], [0.500, 0.500, 0.500], [0.750, 0.750, 0.750]],
  "de_polymorph_mev_per_atom": 744,
  "final_energy_ev_per_atom": -2.384,
  "magmom_total_mub_per_fu": 0.0,
  "volume_a3_per_atom": 28.59
}

***

7.
{
  "formula": "CaAg4Cl8",
  "functional": "GGA-PBE",
  "state": "relaxed",
  "lattice_angstrom": [[-2.966, -2.591, -6.769], [-1.023, -4.145, 6.564], [-3.145, 6.308, 3.493]],
  "species": ["Ca", "Ag", "Ag", "Ag", "Ag", "Cl", "Cl", "Cl", "Cl", "Cl", "Cl", "Cl", "Cl"],
  "fractional_positions": [[0.000, 0.500, 0.500], [0.000, 0.000, 0.000], [0.000, 0.500, 0.000], [0.500, 0.500, 0.000], [0.500, 0.000, 0.000], [0.463, 0.732, 0.195], [0.537, 0.268, 0.805], [0.502, 0.251, 0.244], [0.007, 0.257, 0.756], [0.498, 0.749, 0.756], [0.007, 0.749, 0.756], [0.993, 0.251, 0.244], [0.993, 0.743, 0.244]],
  "final_energy_ev_per_atom": -2.962,
  "magmom_total_mub_per_fu": 2.1,
  "volume_a3_per_atom": 26.30
}

***

8.
{
  "formula": "Ca2AgCl",
  "functional": "GGA-PBE",
  "state": "relaxed",
  "lattice_angstrom": [[-0.941, -2.918, -2.630], [2.425, -0.745, -3.143], [4.604, -6.543, 2.509]],
  "species": ["Ca", "Ca", "Ag", "Cl"],
  "fractional_positions": [[0.080, 0.080, 0.761], [0.257, 0.257, 0.229], [0.669, 0.669, 0.994], [0.495, 0.495, 0.516]],
  "de_polymorph_mev_per_atom": 56,
  "final_energy_ev_per_atom": -3.072,
  "magmom_total_mub_per_fu": 0.0,
  "volume_a3_per_atom": 28.45
}